The following is a SCAN calculation of LiCu5 at its PBEsol-relaxed geometry, from Alexandria via LeMat-Bulk.

Output
**M_tot**: 0.000 μB per formula unit
**Crystal system**: monoclinic
**DOS(E_F)**: 4.13 states/eV/cell
**Distance to the lowest polymorph of the same formula**: 0.003 eV per atom
**Formation enthalpy at 0 K**: -0.03 eV per formula unit

CIF file:
```
data_LiCu5
_chemical_formula_sum 'Li2 Cu10'
_symmetry_space_group_name_H-M 'C 1 m 1'
_symmetry_Int_Tables_number 8
_symmetry_space_group_name_Hall 'C -2y'
_cell_length_a 9.3309
_cell_length_b 2.5028
_cell_length_c 6.0761
_cell_angle_alpha 90.00
_cell_angle_beta 105.42
_cell_angle_gamma 90.00
loop_
_atom_site_label
_atom_site_type_symbol
_atom_site_fract_x
_atom_site_fract_y
_atom_site_fract_z
Li1 Li 0.0000 0.0000 0.0000
Cu1 Cu 0.1148 0.5000 0.7169
Cu2 Cu 0.1713 0.5000 0.3347
Cu3 Cu 0.2738 0.0000 0.0522
Cu4 Cu 0.3371 0.0000 0.6651
Cu5 Cu 0.4472 0.5000 0.3865
```


The following is a SCAN calculation of LiCu5 at its PBEsol-relaxed geometry, from Alexandria via LeMat-Bulk.

Output
**M_tot**: 0.000 μB per formula unit
**Crystal system**: tetragonal
**DOS(E_F)**: 1.90 states/eV/cell
**Distance to the lowest polymorph of the same formula**: 0.011 eV per atom
**Formation enthalpy at 0 K**: 0.01 eV per formula unit

CIF file:
```
data_LiCu5
_chemical_formula_sum 'Li1 Cu5'
_symmetry_space_group_name_H-M 'P 4/m m m'
_symmetry_Int_Tables_number 123
_symmetry_space_group_name_Hall '-P 4 2'
_cell_length_a 2.5010
_cell_length_b 2.5010
_cell_length_c 11.1229
_cell_angle_alpha 90.00
_cell_angle_beta 90.00
_cell_angle_gamma 90.00
loop_
_atom_site_label
_atom_site_type_symbol
_atom_site_fract_x
_atom_site_fract_y
_atom_site_fract_z
Li1 Li 0.0000 0.0000 0.0000
Cu1 Cu 0.0000 0.0000 0.3383
Cu2 Cu 0.5000 0.5000 0.1771
Cu3 Cu 0.5000 0.5000 0.5000
```


The following is a SCAN calculation of Li2Cu3 at its PBEsol-relaxed geometry, from Alexandria via LeMat-Bulk.

Output
**M_tot**: 0.000 μB per formula unit
**Crystal system**: trigonal
**DOS(E_F)**: 5.23 states/eV/cell
**Formation enthalpy at 0 K**: -0.01 eV per formula unit

CIF file:
```
data_Li2Cu3
_chemical_formula_sum 'Li6 Cu9'
_symmetry_space_group_name_H-M 'R -3 m'
_symmetry_Int_Tables_number 166
_symmetry_space_group_name_Hall '-R 3 2"'
_cell_length_a 2.5465
_cell_length_b 2.5465
_cell_length_c 31.7426
_cell_angle_alpha 90.00
_cell_angle_beta 90.00
_cell_angle_gamma 120.00
loop_
_atom_site_label
_atom_site_type_symbol
_atom_site_fract_x
_atom_site_fract_y
_atom_site_fract_z
Li1 Li 0.0000 0.0000 0.0987
Cu1 Cu 0.0000 0.0000 0.3008
Cu2 Cu 0.0000 0.0000 0.5000
```


The following is a SCAN calculation of LiCu5 at its PBEsol-relaxed geometry, from Alexandria via LeMat-Bulk.

Output
**M_tot**: 0.000 μB per formula unit
**Crystal system**: cubic
**DOS(E_F)**: 5.38 states/eV/cell
**Distance to the lowest polymorph of the same formula**: 0.065 eV per atom
**Formation enthalpy at 0 K**: 0.34 eV per formula unit

CIF file:
```
data_LiCu5
_chemical_formula_sum 'Li4 Cu20'
_symmetry_space_group_name_H-M 'F -4 3 m'
_symmetry_Int_Tables_number 216
_symmetry_space_group_name_Hall 'F -4 2 3'
_cell_length_a 6.6775
_cell_length_b 6.6775
_cell_length_c 6.6775
_cell_angle_alpha 90.00
_cell_angle_beta 90.00
_cell_angle_gamma 90.00
loop_
_atom_site_label
_atom_site_type_symbol
_atom_site_fract_x
_atom_site_fract_y
_atom_site_fract_z
Li1 Li 0.0000 0.0000 0.0000
Cu1 Cu 0.1248 0.1248 0.6248
Cu2 Cu 0.2500 0.2500 0.2500
```


The following is a SCAN calculation of Li3Cu2 at its PBEsol-relaxed geometry, from Alexandria via LeMat-Bulk.

Output
**M_tot**: 0.000 μB per formula unit
**Crystal system**: trigonal
**DOS(E_F)**: 5.47 states/eV/cell
**Formation enthalpy at 0 K**: 0.18 eV per formula unit

CIF file:
```
data_Li3Cu2
_chemical_formula_sum 'Li9 Cu6'
_symmetry_space_group_name_H-M 'R -3 m'
_symmetry_Int_Tables_number 166
_symmetry_space_group_name_Hall '-R 3 2"'
_cell_length_a 2.5875
_cell_length_b 2.5875
_cell_length_c 33.4457
_cell_angle_alpha 90.00
_cell_angle_beta 90.00
_cell_angle_gamma 120.00
loop_
_atom_site_label
_atom_site_type_symbol
_atom_site_fract_x
_atom_site_fract_y
_atom_site_fract_z
Li1 Li 0.0000 0.0000 0.0000
Li2 Li 0.0000 0.0000 0.2050
Cu1 Cu 0.0000 0.0000 0.3977
```


The following is a SCAN calculation of LiCu5 at its PBEsol-relaxed geometry, from Alexandria via LeMat-Bulk.

Output
**M_tot**: 0.000 μB per formula unit
**Crystal system**: hexagonal
**DOS(E_F)**: 2.02 states/eV/cell
**Distance to the lowest polymorph of the same formula**: 0.000 eV per atom
**Formation enthalpy at 0 K**: -0.05 eV per formula unit

CIF file:
```
data_LiCu5
_chemical_formula_sum 'Li1 Cu5'
_symmetry_space_group_name_H-M 'P -6 2 m'
_symmetry_Int_Tables_number 189
_symmetry_space_group_name_Hall 'P -6 -2'
_cell_length_a 4.3684
_cell_length_b 4.3684
_cell_length_c 4.1276
_cell_angle_alpha 90.00
_cell_angle_beta 90.00
_cell_angle_gamma 120.00
loop_
_atom_site_label
_atom_site_type_symbol
_atom_site_fract_x
_atom_site_fract_y
_atom_site_fract_z
Li1 Li 0.0000 0.0000 0.0000
Cu1 Cu 0.0000 0.6598 0.5000
Cu2 Cu 0.3333 0.6667 0.0000
```